Entry 1:
This record from OQMD via LeMat-Bulk describes a relaxed InAgPtS3 crystal. The functional is PBE.

Unit cell a=7.7270 b=7.7270 c=9.9262 alpha=90.00 beta=90.00 gamma=153.57
Positions (direct):
1 In 0.1923 0.8077 0.7500
2 In 0.8077 0.1923 0.2500
3 Ag 0.4458 0.5542 0.7500
4 Ag 0.5542 0.4458 0.2500
5 Pt 0.0000 0.0000 0.0000
6 Pt 0.0000 0.0000 0.5000
7 S 0.1897 0.8103 0.2500
8 S 0.4043 0.5957 0.0605
9 S 0.4043 0.5957 0.4395
10 S 0.5957 0.4043 0.5605
11 S 0.5957 0.4043 0.9395
12 S 0.8103 0.1897 0.7500

Computed properties:
- total energy (eV per atom) = -4.0785
- total moment (μB/atom) = 0.003
- V (Å³ per atom) = 21.984



Entry 2:
This record from OQMD via LeMat-Bulk describes a relaxed Cu4Ag crystal. The functional is PBE.

Unit cell a=9.4830 b=9.4830 c=3.7282 alpha=90.00 beta=90.00 gamma=157.16
Positions (direct):
1 Cu 0.0000 0.0000 0.0000
2 Cu 0.0921 0.9079 0.5000
3 Cu 0.1933 0.8067 0.0000
4 Cu 0.4082 0.5918 0.0000
5 Cu 0.5000 0.5000 0.5000
6 Cu 0.5918 0.4082 0.0000
7 Cu 0.8067 0.1933 0.0000
8 Cu 0.9079 0.0921 0.5000
9 Ag 0.3055 0.6945 0.5000
10 Ag 0.6945 0.3055 0.5000

Computed properties:
- ΔE_f (meV per atom) = 59.4
- V (Å³ per atom) = 13.014
- offset from the most stable computed form (meV/atom) = 15



Entry 3:
This record from OQMD via LeMat-Bulk describes a relaxed CsCoPd crystal. The functional is PBE.

Unit cell a=4.7193 b=4.7193 c=4.7193 alpha=60.00 beta=60.00 gamma=60.00
Positions (direct):
1 Cs 0.0000 0.0000 0.0000
2 Co 0.7500 0.7500 0.7500
3 Pd 0.5000 0.5000 0.5000

Computed properties:
- total energy (eV per atom) = -3.1573
- total moment (μB/atom) = 0.606
- V (Å³ per atom) = 24.774